! MnCuF2 PBE with a Hubbard U optimized geometry; values from VASP
! Polymorph energy (0 for the lowest one) = 0 meV/atom
! Space group = R-3m
&SYSTEM
  ibrav = 0, nat = 4, ntyp = 3
/
ATOMIC_SPECIES
Mn 54.94 Mn.upf
Cu 63.55 Cu.upf
F 19.00 F.upf
CELL_PARAMETERS angstrom
1.575 0.909 8.123
-1.575 0.909 8.123
0.000 -1.818 8.123
ATOMIC_POSITIONS crystal
Mn 0.000 0.000 0.000
Cu 0.500 0.500 0.500
F 0.378 0.378 0.378
F 0.622 0.622 0.622